No. 1
Material: Tl2AgHg
Method: DFT, GGA-PBEsol
State: optimized geometry

ΔE_f in eV/atom: 0.10
Relative energy among the computed polymorphs in meV per atom: 32
Total DFT energy (no corrections) in eV per atom: -2.186
Space group: No. 225
Theoretical density in g/cm³: 12.51

a = 5.1249 Å, b = 5.1249 Å, c = 5.1249 Å
α = 60.00°, β = 60.00°, γ = 60.00°
Last column: nearest neighbours and their distance in Å.
Sites, in units of the cell vectors:
Ag 0.0000 0.0000 0.0000  8 Tl 3.14
Tl 0.2500 0.2500 0.2500  4 Ag 3.14, 4 Hg 3.14
Tl 0.7500 0.7500 0.7500  4 Hg 3.14, 4 Ag 3.14
Hg 0.5000 0.5000 0.5000  8 Tl 3.14

No. 2
Material: Be2InBr
Method: DFT, GGA-PBEsol
State: optimized geometry

Formation energy (no corrections) in eV/atom: 0.65
Relative energy among the computed polymorphs in meV per atom: 248
Total DFT energy (no corrections) in eV per atom: -2.567
Space group: No. 123
Theoretical density in g/cm³: 5.27

a = 3.0860 Å, b = 3.0860 Å, c = 7.0389 Å
α = 90.00°, β = 90.00°, γ = 90.00°
Last column: nearest neighbours and their distance in Å.
Sites, in units of the cell vectors:
In 0.5000 0.5000 0.5000  8 Be 2.83, 4 In 3.09
Br 0.5000 0.5000 0.0000  8 Be 2.78, 4 Br 3.09
Be 0.0000 0.0000 0.7554  4 Br 2.78, 4 In 2.83, 4 Be 3.09
Be 0.0000 0.0000 0.2446  4 Br 2.78, 4 In 2.83, 4 Be 3.09

No. 3
Material: FeSiNO2
Method: DFT, GGA-PBEsol
State: optimized geometry

Formation energy (no corrections) in eV/atom: -0.84
Total DFT energy (no corrections) in eV per atom: -7.589
Space group: No. 123
Theoretical density in g/cm³: 4.92

a = 3.4544 Å, b = 3.4544 Å, c = 3.6718 Å
α = 90.00°, β = 90.00°, γ = 90.00°
Last column: nearest neighbours and their distance in Å.
Sites, in units of the cell vectors:
Fe 0.5000 0.5000 0.5000  4 N 2.44, 8 O 2.52
O 0.0000 0.5000 0.0000  2 Si 1.73
O 0.5000 0.0000 0.0000  2 Si 1.73
N 0.0000 0.0000 0.5000  2 Si 1.84
Si 0.0000 0.0000 0.0000  4 O 1.73, 2 N 1.84

No. 4
Material: TlCrIn2
Method: DFT, GGA-PBEsol
State: optimized geometry

ΔE_f in eV/atom: 0.46
Total DFT energy (no corrections) in eV per atom: -4.252
Space group: No. 225
Theoretical density in g/cm³: 8.77

a = 5.0679 Å, b = 5.0679 Å, c = 5.0679 Å
α = 60.00°, β = 60.00°, γ = 60.00°
Last column: nearest neighbours and their distance in Å.
Sites, in units of the cell vectors:
Tl 0.5000 0.5000 0.5000  8 In 3.10
In 0.2500 0.2500 0.2500  4 Cr 3.10, 4 Tl 3.10
In 0.7500 0.7500 0.7500  4 Cr 3.10, 4 Tl 3.10
Cr 0.0000 0.0000 0.0000  8 In 3.10

No. 5
Material: BaIrOs2
Method: DFT, GGA-PBEsol
State: optimized geometry

ΔE_f in eV/atom: 1.05
Relative energy among the computed polymorphs in meV per atom: 0
Total DFT energy (no corrections) in eV per atom: -8.049
Space group: No. 10
Theoretical density in g/cm³: 14.61

a = 2.8807 Å, b = 4.4668 Å, c = 6.3725 Å
α = 90.00°, β = 100.12°, γ = 90.00°
Last column: nearest neighbours and their distance in Å.
Sites, in units of the cell vectors:
Os 0.2098 0.0000 0.3357  2 Os 2.44-2.60, 2 Ir 2.58
Os 0.7902 0.0000 0.6643  2 Os 2.44-2.60, 2 Ir 2.58
Ir 0.0000 0.5000 0.5000  4 Os 2.58, 2 Ir 2.88
Ba 0.5000 0.5000 0.0000  2 Ba 2.88

No. 6
Material: ZrGaIr3
Method: DFT, GGA-PBEsol
State: optimized geometry

ΔE_f in eV/atom: 0.50
Total DFT energy (no corrections) in eV per atom: -7.881
Space group: No. 221
Theoretical density in g/cm³: 13.80

a = 4.4612 Å, b = 4.4612 Å, c = 4.4612 Å
α = 90.00°, β = 90.00°, γ = 90.00°
Last column: nearest neighbours and their distance in Å.
Sites, in units of the cell vectors:
Zr 0.5000 0.5000 0.5000  12 Ir 3.15
Ga 0.0000 0.0000 0.0000  6 Ir 2.23
Ir 0.0000 0.0000 0.5000  2 Ga 2.23
Ir 0.5000 0.0000 0.0000  2 Ga 2.23
Ir 0.0000 0.5000 0.0000  2 Ga 2.23

No. 7
Material: CaLaBr2
Method: DFT, GGA-PBEsol
State: optimized geometry

Formation energy (no corrections) in eV/atom: -1.31
Relative energy among the computed polymorphs in meV per atom: 0
Total DFT energy (no corrections) in eV per atom: -4.116
Space group: No. 12
Theoretical density in g/cm³: 5.40

a = 4.0024 Å, b = 3.9935 Å, c = 7.8841 Å
α = 104.80°, β = 90.00°, γ = 120.07°
Last column: nearest neighbours and their distance in Å.
Sites, in units of the cell vectors:
Br 0.2575 0.5150 0.2722  3 Ca 2.87-2.88, 3 La 3.09
Br 0.7425 0.4850 0.7278  3 Ca 2.87-2.88, 3 La 3.09
La 0.5000 0.0000 0.0000  6 Br 3.09
Ca 0.0000 0.0000 0.5000  6 Br 2.87-2.88

No. 8
Material: SrMn2Mo
Method: DFT, GGA-PBEsol
State: optimized geometry

ΔE_f in eV/atom: 0.58
Total DFT energy (no corrections) in eV per atom: -7.701
Space group: No. 123
Theoretical density in g/cm³: 6.73

a = 3.1168 Å, b = 3.1168 Å, c = 7.4484 Å
α = 90.00°, β = 90.00°, γ = 90.00°
Last column: nearest neighbours and their distance in Å.
Sites, in units of the cell vectors:
Mn 0.0000 0.0000 0.8282  4 Mo 2.55, 1 Mn 2.56
Mn 0.0000 0.0000 0.1718  4 Mo 2.55, 1 Mn 2.56
Sr 0.5000 0.5000 0.5000  4 Sr 3.12, 8 Mn 3.29
Mo 0.5000 0.5000 0.0000  8 Mn 2.55

No. 9
Material: Co3P
Method: DFT, GGA-PBEsol
State: optimized geometry

ΔE_f in eV/atom: -0.31
Relative energy among the computed polymorphs in meV per atom: 0
Total DFT energy (no corrections) in eV per atom: -7.563
Space group: No. 221
Theoretical density in g/cm³: 8.79

a = 3.3990 Å, b = 3.3990 Å, c = 3.3990 Å
α = 90.00°, β = 90.00°, γ = 90.00°
Last column: nearest neighbours and their distance in Å.
Sites, in units of the cell vectors:
Co 0.0000 0.5000 0.5000  8 Co 2.40, 4 P 2.40
Co 0.5000 0.5000 0.0000  8 Co 2.40, 4 P 2.40
Co 0.5000 0.0000 0.5000  8 Co 2.40, 4 P 2.40
P 0.0000 0.0000 0.0000  12 Co 2.40

No. 10
Material: KSr3Pb
Method: DFT, GGA-PBEsol
State: optimized geometry

ΔE_f in eV/atom: -0.15
Total DFT energy (no corrections) in eV per atom: -2.276
Space group: No. 221
Theoretical density in g/cm³: 3.09

a = 6.4888 Å, b = 6.4888 Å, c = 6.4888 Å
α = 90.00°, β = 90.00°, γ = 90.00°
Last column: nearest neighbours and their distance in Å.
Sites, in units of the cell vectors:
Sr 0.0000 0.0000 0.5000  2 Pb 3.24
Sr 0.5000 0.0000 0.0000  2 Pb 3.24
Sr 0.0000 0.5000 0.0000  2 Pb 3.24
Pb 0.0000 0.0000 0.0000  6 Sr 3.24
K 0.5000 0.5000 0.5000  12 Sr 4.59

No. 11
Material: Ca5Cu2N4
Method: DFT, GGA-PBEsol
State: optimized geometry

Formation energy (no corrections) in eV/atom: -0.76
Total DFT energy (no corrections) in eV per atom: -5.614
Space group: No. 130
Theoretical density in g/cm³: 3.33

a = 7.9070 Å, b = 7.9070 Å, c = 12.2302 Å
α = 90.00°, β = 90.00°, γ = 90.00°
Last column: nearest neighbours and their distance in Å.
Sites, in units of the cell vectors:
Ca 0.8263 0.1157 0.4100  4 N 2.36-2.54
Ca 0.6737 0.6157 0.0900  4 N 2.36-2.54
Ca 0.8843 0.1737 0.0900  4 N 2.36-2.54
Ca 0.0000 0.5000 0.8621  4 N 2.58
Ca 0.1737 0.8843 0.4100  4 N 2.36-2.54
Ca 0.1737 0.1157 0.9100  4 N 2.36-2.54
Ca 0.3843 0.6737 0.9100  4 N 2.36-2.54
Ca 0.3263 0.6157 0.5900  4 N 2.36-2.54
Ca 0.5000 0.0000 0.6379  4 N 2.58
Ca 0.6157 0.6737 0.4100  4 N 2.36-2.54
Ca 0.1157 0.8263 0.0900  4 N 2.36-2.54
Ca 0.8843 0.8263 0.5900  4 N 2.36-2.54
Ca 0.6737 0.3843 0.5900  4 N 2.36-2.54
Ca 0.8263 0.8843 0.9100  4 N 2.36-2.54
Ca 0.6157 0.3263 0.9100  4 N 2.36-2.54
Ca 0.0000 0.5000 0.3621  4 N 2.58
Ca 0.3843 0.3263 0.4100  4 N 2.36-2.54
Ca 0.1157 0.1737 0.5900  4 N 2.36-2.54
Ca 0.3263 0.3843 0.0900  4 N 2.36-2.54
Ca 0.5000 0.0000 0.1379  4 N 2.58
N 0.6124 0.6985 0.6045  1 Cu 1.84
N 0.3876 0.6985 0.1045  1 Cu 1.84
N 0.8015 0.8876 0.1045  1 Cu 1.84
N 0.8876 0.8015 0.3955  1 Cu 1.84
N 0.1985 0.8876 0.6045  1 Cu 1.84
N 0.8876 0.1985 0.8955  1 Cu 1.84
N 0.6124 0.3015 0.1045  1 Cu 1.84
N 0.3015 0.6124 0.3955  1 Cu 1.84
N 0.6985 0.6124 0.8955  1 Cu 1.84
N 0.3015 0.3876 0.8955  1 Cu 1.84
N 0.1124 0.1985 0.3955  1 Cu 1.84
N 0.1985 0.1124 0.1045  1 Cu 1.84
N 0.3876 0.3015 0.6045  1 Cu 1.84
N 0.1124 0.8015 0.8955  1 Cu 1.84
N 0.6985 0.3876 0.3955  1 Cu 1.84
N 0.8015 0.1124 0.6045  1 Cu 1.84
Cu 0.1568 0.1568 0.2500  2 N 1.84
Cu 0.6568 0.6568 0.7500  2 N 1.84
Cu 0.3432 0.3432 0.7500  2 N 1.84
Cu 0.8432 0.1568 0.7500  2 N 1.84
Cu 0.6568 0.3432 0.2500  2 N 1.84
Cu 0.3432 0.6568 0.2500  2 N 1.84
Cu 0.8432 0.8432 0.2500  2 N 1.84
Cu 0.1568 0.8432 0.7500  2 N 1.84

No. 12
Material: CrSiH8O4F6
Method: DFT, GGA-PBEsol
State: optimized geometry

Total DFT energy (no corrections) in eV per atom: -5.539
Space group: No. 14
Theoretical density in g/cm³: 2.37

a = 5.3914 Å, b = 7.3782 Å, c = 9.5779 Å
α = 90.00°, β = 90.00°, γ = 102.01°
Last column: nearest neighbours and their distance in Å.
Sites, in units of the cell vectors:
Si 0.5000 0.0000 0.5000  6 F 1.67-1.73
Si 0.5000 0.5000 0.0000  6 F 1.67-1.73
O 0.1362 0.8797 0.8370  2 H 0.99
O 0.8638 0.6203 0.3370  2 H 0.99
O 0.7707 0.0959 0.8668  2 H 0.99
O 0.2293 0.4041 0.3668  2 H 0.99
O 0.8638 0.1203 0.1630  2 H 0.99
O 0.2293 0.9041 0.1332  2 H 0.99
O 0.7707 0.5959 0.6332  2 H 0.99
O 0.1362 0.3797 0.6630  2 H 0.99
F 0.3120 0.7961 0.5393  1 Si 1.67
F 0.6303 0.8981 0.3631  2 H 1.64-1.67, 1 Si 1.73
F 0.6880 0.7039 0.0393  1 Si 1.67
F 0.7277 0.4498 0.8879  2 H 1.67-1.69, 1 Si 1.73
F 0.3697 0.1019 0.6369  2 H 1.64-1.67, 1 Si 1.73
F 0.6303 0.3981 0.1369  2 H 1.64-1.67, 1 Si 1.73
F 0.3697 0.6019 0.8631  2 H 1.64-1.67, 1 Si 1.73
F 0.7277 0.9498 0.6121  2 H 1.67-1.69, 1 Si 1.73
F 0.6880 0.2039 0.4607  1 Si 1.67
F 0.2723 0.0502 0.3879  2 H 1.67-1.69, 1 Si 1.73
F 0.2723 0.5502 0.1121  2 H 1.67-1.69, 1 Si 1.73
F 0.3120 0.2961 0.9607  1 Si 1.67
H 0.7677 0.7195 0.3535  1 O 0.99
H 0.2271 0.4611 0.7375  1 O 0.99
H 0.7620 0.5529 0.7317  1 O 0.99
H 0.7729 0.0389 0.2375  1 O 0.99
H 0.7620 0.0529 0.7683  1 O 0.99
H 0.2380 0.9471 0.2317  1 O 0.99
H 0.2380 0.4471 0.2683  1 O 0.99
H 0.2323 0.2805 0.6465  1 O 0.99
H 0.7579 0.7282 0.6321  1 O 0.99
H 0.7729 0.5389 0.2625  1 O 0.99
H 0.2421 0.7718 0.1321  1 O 0.99
H 0.2271 0.9611 0.7625  1 O 0.99
H 0.7677 0.2195 0.1465  1 O 0.99
H 0.7579 0.2282 0.8679  1 O 0.99
H 0.2421 0.2718 0.3679  1 O 0.99
H 0.2323 0.7805 0.8535  1 O 0.99
Cr 0.0000 0.0000 0.0000  4 O 2.01
Cr 0.0000 0.5000 0.5000  4 O 2.01

What is the total DFT energy (no corrections) in the eighth record?
-7.701 eV per atom